[1]
Here is a geometry-optimized Pr4NdTm3 structure from the Alexandria database. Energies are from PBE.

```
Pr4NdTm3
1.0
-6.187 -0.338 1.310
1.571 -1.927 6.924
0.046 11.242 3.118
Pr Tm Nd
8 6 2
Direct
0.483 0.874 0.244
0.655 0.132 0.000
0.983 0.126 0.256
0.983 0.126 0.744
0.483 0.874 0.756
0.637 0.131 0.500
0.155 0.868 0.500
0.137 0.869 0.000
0.481 0.381 0.750
0.147 0.381 0.500
0.981 0.619 0.750
0.981 0.619 0.250
0.647 0.619 0.000
0.481 0.381 0.250
0.150 0.375 0.000
0.650 0.625 0.500
```

Summary:
Electronic total energy = -37.05 eV per formula unit
Offset from the most stable computed form = 0.013 eV/atom
Size of the total moment = 0.000 μB per formula unit
Formation energy = 32 meV per atom
DOS(E_F) = 27.88 states/eV/cell


[2]
Here is a geometry-optimized Pr8Nd3Tm2 structure from the Alexandria database. Energies are from PBE.

```
Pr8Nd3Tm2
1.0
5.822 0.000 0.777
0.000 7.803 0.000
-1.366 -3.902 10.193
Pr Tm Nd
8 2 3
Direct
0.999 0.135 0.270
0.500 0.599 0.783
0.500 0.184 0.783
0.001 0.865 0.730
0.500 0.816 0.217
0.001 0.676 0.351
0.999 0.324 0.649
0.500 0.401 0.217
0.499 0.241 0.482
0.501 0.759 0.518
0.000 0.713 0.000
0.000 0.287 0.000
0.500 0.000 0.000
```

Summary:
Electronic total energy = -58.81 eV per formula unit
Offset from the most stable computed form = 0.057 eV/atom
Size of the total moment = 0.000 μB per formula unit
Formation energy = 206 meV per atom
DOS(E_F) = 18.97 states/eV/cell